Below is a crystal of ZrFeC2 relaxed with PBEsol, with properties calculated at the SCAN level.

a b c (Å): 3.799 3.799 3.799
angles (deg): 60.00 60.00 60.00
Site moments in Bohr magnetons follow the coordinates.
Sites, in units of the cell vectors:
Fe  0.000  0.000  0.000  1.35
Zr  0.500  0.500  0.500  -0.15
C  0.750  0.750  0.750  -0.29
C  0.250  0.250  0.250  -0.29

---

Below is a crystal of GaH6C2SeI3 relaxed with PBEsol, with properties calculated at the SCAN level.

a b c (Å): 7.640 11.518 12.691
angles (deg): 90.00 90.00 101.17
Sites, in units of the cell vectors:
H  0.303  0.329  0.596
H  0.071  0.849  0.123
H  0.697  0.671  0.404
H  0.803  0.829  0.904
H  0.571  0.349  0.377
H  0.099  0.380  0.624
H  0.273  0.393  0.724
H  0.628  0.226  0.305
H  0.579  0.795  0.621
H  0.128  0.726  0.195
H  0.227  0.107  0.224
H  0.421  0.205  0.379
H  0.727  0.607  0.276
H  0.921  0.705  0.121
H  0.929  0.151  0.877
H  0.401  0.120  0.124
H  0.429  0.651  0.623
H  0.079  0.295  0.879
H  0.599  0.880  0.876
H  0.872  0.274  0.805
H  0.372  0.774  0.695
H  0.197  0.171  0.096
H  0.901  0.620  0.376
H  0.773  0.893  0.776
I  0.004  0.818  0.595
I  0.248  0.955  0.903
I  0.996  0.182  0.405
I  0.496  0.682  0.095
I  0.440  0.901  0.359
I  0.752  0.045  0.097
I  0.252  0.545  0.403
I  0.060  0.599  0.859
I  0.940  0.401  0.141
I  0.748  0.455  0.597
I  0.504  0.318  0.905
I  0.560  0.099  0.641
Ga  0.370  0.138  0.796
Ga  0.130  0.362  0.296
Ga  0.630  0.862  0.204
Ga  0.870  0.638  0.704
C  0.019  0.768  0.168
C  0.206  0.341  0.658
C  0.794  0.659  0.342
C  0.706  0.841  0.842
C  0.481  0.732  0.668
C  0.981  0.232  0.832
C  0.519  0.268  0.332
C  0.294  0.159  0.158
Se  0.100  0.184  0.709
Se  0.600  0.684  0.791
Se  0.400  0.316  0.209
Se  0.900  0.816  0.291

---

Looking at E for the records above, in order, we have -66.460 -765.270 eV per cell.